Computed, not measured: crystalline KLiRu2 at its relaxed geometry at the PBE level of DFT.

The structure belongs to space group Pm (No. 6); the cell edges are 2.785, 3.813 and 7.977 Å and the angles 90.00°, 90.01° and 90.00°. The inequivalent atoms are K at (0.000, 0.000, 0.000), Li at (0.494, 0.500, 0.635), Ru at (0.497, 0.500, 0.319) and Ru at (0.997, 0.000, 0.438).

The calculation puts the formation energy at 0.466 eV/atom. The total magnetic moment comes out at 0.00 μB per cell.